## RbTl3Hg8 (PBE-GGA)

Data for RbTl3Hg8 after structural relaxation.

Results
Calculated formation energy, eV/atom: -0.0547
N(E_F), states/eV per atom: 0.4251
SG: P3m1

Unit cell a=6.310 b=6.310 c=10.365 alpha=90.00 beta=90.00 gamma=120.00
Positions (direct):
Rb 0.000 0.000 0.000
Tl 0.000 0.000 0.377
Tl 0.667 0.333 0.504
Tl 0.667 0.333 0.857
Hg 0.163 0.325 0.682
Hg 0.163 0.837 0.682
Hg 0.333 0.667 0.437
Hg 0.333 0.667 0.936
Hg 0.505 0.010 0.195
Hg 0.505 0.495 0.195
Hg 0.675 0.837 0.682
Hg 0.990 0.495 0.195